[1]
Zn4Ag7Au after structural relaxation, computed with PBE.

## Properties
- Space group: C2/m
- Uncorrected energy: -26.5 eV for the cell shown
- ΔE_f: 0.15 eV per atom

Cell: 5.8548 5.8548 9.6679 Å, 116.95 116.95 51.52°
Positions (direct):
1 Zn 0.0755 0.0755 0.2728
2 Zn 0.2229 0.2229 0.8133
3 Zn 0.7771 0.7771 0.1867
4 Zn 0.9245 0.9245 0.7272
5 Ag 0.0000 0.0000 0.5000
6 Ag 0.1530 0.1530 0.0475
7 Ag 0.2912 0.2912 0.5854
8 Ag 0.4524 0.4524 0.1213
9 Ag 0.5476 0.5476 0.8787
10 Ag 0.7088 0.7088 0.4146
11 Ag 0.8470 0.8470 0.9525
12 Au 0.5000 0.5000 0.5000



[2]
ReNiBP2 after structural relaxation, computed with PBE.

## Properties
- Relative energy among the computed polymorphs: 108.4 meV/atom
- Space group: Cm
- Uncorrected energy: -35.9 eV for the cell shown
- ΔE_f: -0.03 eV per atom

Cell: 4.2192 4.2192 5.1599 Å, 90.91 90.91 42.78°
Positions (direct):
1 Re 0.0000 0.0000 0.0000
2 Ni 0.1475 0.1475 0.5268
3 B 0.8779 0.8779 0.6022
4 P 0.4313 0.4313 0.3546
5 P 0.7113 0.7113 0.8964



[3]
AlRhCl2 after structural relaxation, computed with PBE.

## Properties
- Relative energy among the computed polymorphs: 333.0 meV/atom
- Uncorrected formation energy: -0.261 eV/atom
- Space group: P2/m
- Uncorrected energy: -15.8 eV for the cell shown

Cell: 5.0094 3.4669 6.6044 Å, 90.00 112.23 90.00°
Positions (direct):
1 Al 0.0000 0.0000 0.0000
2 Rh 0.5000 0.0000 0.0000
3 Cl 0.3647 0.5000 0.7294
4 Cl 0.6353 0.5000 0.2706



[4]
Ga2ReMo after structural relaxation, computed with PBE.

## Properties
- Relative energy among the computed polymorphs: 492.2 meV/atom
- Space group: I-42d
- Uncorrected energy: -53.7 eV for the cell shown
- ΔE_f: 0.62 eV per atom

Cell: 5.6183 5.6183 5.6183 Å, 103.45 103.45 122.34°
Positions (direct):
1 Ga 0.1190 0.6250 0.9940
2 Ga 0.3750 0.3690 0.4940
3 Ga 0.6310 0.1250 0.0060
4 Ga 0.8750 0.8810 0.5060
5 Re 0.0000 0.0000 0.0000
6 Re 0.7500 0.2500 0.5000
7 Mo 0.2500 0.7500 0.5000
8 Mo 0.5000 0.5000 0.0000



[5]
LaNi2Ru after structural relaxation, computed with PBE.

## Properties
- Space group: Cm
- Uncorrected energy: -26.4 eV for the cell shown
- ΔE_f: -0.17 eV per atom

Cell: 4.2375 4.2375 5.4475 Å, 112.85 112.85 59.99°
Positions (direct):
1 La 0.0000 0.0000 0.0000
2 Ni 0.5040 0.5040 0.5096
3 Ni 0.8112 0.8112 0.4310
4 Ru 0.1850 0.1850 0.5527



[6]
CaFeMo2 after structural relaxation, computed with PBE.

## Properties
- Relative energy among the computed polymorphs: 249.3 meV/atom
- Space group: Cmmm
- Uncorrected energy: -29.1 eV for the cell shown
- ΔE_f: 0.77 eV per atom

Cell: 5.5367 5.5367 2.6363 Å, 90.00 90.00 121.96°
Positions (direct):
1 Ca 0.0000 0.0000 0.0000
2 Fe 0.5000 0.5000 0.0000
3 Mo 0.0000 0.5000 0.5000
4 Mo 0.5000 0.0000 0.5000